## Pm2HfVO6 (GGA+U)

Data for crystalline Pm2HfVO6 at its relaxed geometry.

Output
For the energy, the calculation gives -8.81 eV/atom. The density of states at the Fermi level comes out at 0.000 states/eV per atom.

Cell: 5.580 5.867 9.721 Å, 90.00 124.03 90.00°
Space group P2_1/c (No. 14)
Asymmetric unit:
1 Pm 0.228 0.061 0.247
2 Hf 0.500 0.000 0.000
3 V 0.000 0.000 0.500
4 O 0.142 0.191 0.943
5 O 0.246 0.706 0.934
6 O 0.376 0.049 0.756


## PmHfV2O8 (GGA+U)

Data for crystalline PmHfV2O8 at its relaxed geometry.

Output
For the energy, the calculation gives -8.40 eV/atom.

Cell: 7.146 7.146 6.310 Å, 90.00 90.00 90.00°
Space group I-4m2 (No. 119)
Asymmetric unit:
1 Pm 0.000 0.000 0.000
2 Hf 0.000 0.500 0.750
3 V 0.000 0.000 0.500
4 V 0.000 0.500 0.250
5 O 0.000 0.193 0.669
6 O 0.000 0.326 0.040


Repeat the second record exactly.
## PmHfV2O8 (GGA+U)

Data for crystalline PmHfV2O8 at its relaxed geometry.

Output
For the energy, the calculation gives -8.40 eV/atom.

Cell: 7.146 7.146 6.310 Å, 90.00 90.00 90.00°
Space group I-4m2 (No. 119)
Asymmetric unit:
1 Pm 0.000 0.000 0.000
2 Hf 0.000 0.500 0.750
3 V 0.000 0.000 0.500
4 V 0.000 0.500 0.250
5 O 0.000 0.193 0.669
6 O 0.000 0.326 0.040


> The lowest energy belongs to which entry?

Pm2HfVO6